Pm3GeI3: optimized geometry, GGA-PBE.

Unit cell a=9.0837 b=4.3357 c=12.4901 alpha=90.00 beta=90.40 gamma=90.00
Fractional coordinates of all 14 atoms:
Pm: 0.1006 0.2500 0.3840
Pm: 0.1179 0.2500 0.8439
Pm: 0.3256 0.7500 0.6212
Pm: 0.6744 0.2500 0.3788
Pm: 0.8821 0.7500 0.1561
Pm: 0.8994 0.7500 0.6160
Ge: 0.1177 0.2500 0.6184
Ge: 0.8823 0.7500 0.3816
I: 0.1375 0.2500 0.1191
I: 0.3708 0.7500 0.8748
I: 0.3838 0.7500 0.3660
I: 0.6162 0.2500 0.6340
I: 0.6292 0.2500 0.1252
I: 0.8625 0.7500 0.8809

Values from the calculation:
ΔE to the lowest computed polymorph = 0 meV/atom
Formation energy (no corrections) = -1199 meV per atom

Pm3GeI3: optimized geometry, GGA-PBE.

Unit cell a=9.6211 b=9.6211 c=6.3129 alpha=90.00 beta=90.00 gamma=119.93
Fractional coordinates of all 14 atoms:
Pm: 0.1612 0.8388 0.7500
Pm: 0.1622 0.3239 0.7500
Pm: 0.3239 0.1622 0.2500
Pm: 0.6761 0.8378 0.7500
Pm: 0.8378 0.6761 0.2500
Pm: 0.8388 0.1612 0.2500
Ge: 0.3329 0.6671 0.7500
Ge: 0.6671 0.3329 0.2500
I: 0.2040 0.7960 0.2500
I: 0.2046 0.4087 0.2500
I: 0.4087 0.2046 0.7500
I: 0.5913 0.7954 0.2500
I: 0.7954 0.5913 0.7500
I: 0.7960 0.2040 0.7500

Values from the calculation:
ΔE to the lowest computed polymorph = 533 meV/atom
Formation energy (no corrections) = -666 meV per atom

Please write out number 2 again, unchanged.
Pm3GeI3: optimized geometry, GGA-PBE.

Unit cell a=9.6211 b=9.6211 c=6.3129 alpha=90.00 beta=90.00 gamma=119.93
Fractional coordinates of all 14 atoms:
Pm: 0.1612 0.8388 0.7500
Pm: 0.1622 0.3239 0.7500
Pm: 0.3239 0.1622 0.2500
Pm: 0.6761 0.8378 0.7500
Pm: 0.8378 0.6761 0.2500
Pm: 0.8388 0.1612 0.2500
Ge: 0.3329 0.6671 0.7500
Ge: 0.6671 0.3329 0.2500
I: 0.2040 0.7960 0.2500
I: 0.2046 0.4087 0.2500
I: 0.4087 0.2046 0.7500
I: 0.5913 0.7954 0.2500
I: 0.7954 0.5913 0.7500
I: 0.7960 0.2040 0.7500

Values from the calculation:
ΔE to the lowest computed polymorph = 533 meV/atom
Formation energy (no corrections) = -666 meV per atom

Among the records above, which one has the highest formation energy (no corrections)?
number 2